[1]
The following is a GGA-PBE calculation of a relaxed structure of Tl2MoN, from Alexandria.

Structure (extended XYZ):
```
4
Lattice="1.4749 -4.4876 0.4712 -2.1513 -3.4720 -2.4194 2.2558 -2.1458 -3.5837" Properties=species:S:1:pos:R:3 pbc="T T T"
Tl 0.3949 -2.5264 -1.3830
Tl 1.1846 -7.5791 -4.1490
Mo 0.7897 -5.0527 -2.7660
N 0.0000 0.0000 0.0000
```

As for the symmetry: Fm-3m (225). The total energy is -4.250 eV/atom.

=====

[2]
The following is a GGA-PBE calculation of a relaxed structure of Tl3MoN, from Alexandria.

Structure (extended XYZ):
```
5
Lattice="5.4387 0.0000 0.0000 0.0000 5.4387 0.0000 0.0000 0.0000 5.4387" Properties=species:S:1:pos:R:3 pbc="T T T"
Tl 0.0000 2.7194 0.0000
Tl 0.0000 0.0000 2.7194
Tl 2.7194 0.0000 0.0000
Mo 0.0000 0.0000 0.0000
N 2.7194 2.7194 2.7194
```

As for the symmetry: Pm-3m (221). The total energy is -3.729 eV/atom.

=====

Number 1: total moment 1.0 μB/cell, energy above the lowest structure with this stoichiometry 365 meV per atom, E_form (uncorrected) 1.72 eV per atom. Number 2: total moment 3.9 μB/cell, energy above the lowest structure with this stoichiometry 145 meV per atom, E_form (uncorrected) 1.52 eV per atom.